# SiAg2Cl | Alexandria | PBEsol | relaxed
# V, A^3/atom: 18.36
# ΔE_f (raw), eV/f.u.: 1.20
# DOS at the Fermi energy, states/eV/atom: 0.2525
data_SiAg2Cl
_chemical_formula_sum 'Si2 Ag4 Cl2'
_symmetry_space_group_name_H-M 'I -4 m 2'
_symmetry_Int_Tables_number 119
_symmetry_space_group_name_Hall 'I -4 -2'
_cell_length_a 3.7615
_cell_length_b 3.7615
_cell_length_c 10.3787
_cell_angle_alpha 90.00
_cell_angle_beta 90.00
_cell_angle_gamma 90.00
loop_
_atom_site_label
_atom_site_type_symbol
_atom_site_fract_x
_atom_site_fract_y
_atom_site_fract_z
_atom_site_occupancy
Si1 Si 0.0000 0.0000 0.0000 1
Ag1 Ag 0.0000 0.0000 0.5000 1
Ag2 Ag 0.0000 0.5000 0.2500 1
Cl1 Cl 0.0000 0.5000 0.7500 1